No. 1
Here is a PBEsol-optimized structure of TeAs3Os from the Alexandria database. Energies are from SCAN.

Lattice parameters (Å, degrees): 5.065 5.065 5.065 90.00 90.00 90.00
Sites, in units of the cell vectors:
As  0.000  0.000  0.500
As  0.000  0.500  0.000
As  0.500  0.000  0.000
Te  0.000  0.000  0.000
Os  0.500  0.500  0.500

Computed properties:
Space group: Pm-3m
Formation energy from raw total energies, meV/atom: 2198

No. 2
Here is a PBEsol-optimized structure of MgSc3 from the Alexandria database. Energies are from SCAN.

Lattice parameters (Å, degrees): 5.173 5.581 6.461 90.00 90.00 90.00
Sites, in units of the cell vectors:
Sc  0.500  0.657  0.000
Sc  0.000  0.343  0.500
Sc  0.500  0.165  0.246
Sc  0.000  0.835  0.254
Sc  0.500  0.165  0.754
Sc  0.000  0.835  0.746
Mg  0.000  0.329  0.000
Mg  0.500  0.671  0.500

Computed properties:
Space group: Pmmn
E_form, eV/f.u.: -0.018
ΔE to the lowest computed polymorph, kcal/mol of atoms: 0.23

No. 3
Here is a PBEsol-optimized structure of Li2YZr from the Alexandria database. Energies are from SCAN.

Lattice parameters (Å, degrees): 5.694 6.199 6.199 77.83 62.66 62.66
Sites, in units of the cell vectors:
Li  0.875  0.007  0.493
Li  0.118  0.507  0.007
Li  0.375  0.993  0.507
Li  0.632  0.493  0.993
Y  0.250  0.500  0.500
Y  0.500  0.000  0.000
Zr  0.000  0.000  0.000
Zr  0.750  0.500  0.500

Computed properties:
Space group: I-42d
E_form, eV/f.u.: 2.057
ΔE to the lowest computed polymorph, kcal/mol of atoms: 4.46